First-principles (PBE-GGA) data for a relaxed Y4ScSe5 crystal, as listed in the Alexandria database.

Values from the calculation:
The density of states at the Fermi level is 5.052 states/eV/cell. The space group is I4/mmm (139). As for the uncorrected formation energy: -1717 meV/atom.

Cell: 4.044 4.044 14.652 Å, 97.93 97.93 90.00°
Positions (direct):
1 Se 0.095 0.095 0.190
2 Se 0.703 0.703 0.405
3 Se 0.297 0.297 0.595
4 Se 0.500 0.500 0.000
5 Se 0.905 0.905 0.810
6 Y 0.806 0.806 0.611
7 Y 0.194 0.194 0.389
8 Y 0.601 0.601 0.202
9 Y 0.399 0.399 0.798
10 Sc 0.000 0.000 0.000

First-principles (PBE-GGA) data for a relaxed YScSe2 crystal, as listed in the Alexandria database.

Values from the calculation:
The density of states at the Fermi level is 2.026 states/eV/cell. The space group is Fm-3m (225). As for the uncorrected formation energy: -1408 meV/atom.

Cell: 4.930 4.930 4.930 Å, 60.00 60.00 60.00°
Last column: magnetic moment on the atom in μB.
Positions (direct):
1 Se 0.750 0.750 0.750  -0.02
2 Se 0.250 0.250 0.250  -0.02
3 Sc 0.000 0.000 0.000  0.61
4 Y 0.500 0.500 0.500  0.33

First-principles (PBE-GGA) data for a relaxed YSc4Se6 crystal, as listed in the Alexandria database.

Values from the calculation:
The density of states at the Fermi level is 7.625 states/eV/cell. The space group is Cmcm (63). As for the uncorrected formation energy: -1709 meV/atom.

Cell: 3.855 6.648 19.938 Å, 90.00 90.00 106.85°
Positions (direct):
1 Se 0.952 0.904 0.662
2 Se 0.682 0.365 0.750
3 Se 0.048 0.096 0.338
4 Se 0.500 0.000 0.000
5 Se 0.318 0.635 0.250
6 Se 0.048 0.096 0.162
7 Se 0.500 0.000 0.500
8 Se 0.232 0.464 0.589
9 Se 0.232 0.464 0.911
10 Se 0.952 0.904 0.838
11 Se 0.768 0.536 0.411
12 Se 0.768 0.536 0.089
13 Sc 0.592 0.185 0.876
14 Sc 0.142 0.284 0.037
15 Sc 0.858 0.716 0.963
16 Sc 0.858 0.716 0.537
17 Sc 0.592 0.185 0.624
18 Sc 0.408 0.815 0.376
19 Sc 0.408 0.815 0.124
20 Sc 0.142 0.284 0.463
21 Y 0.348 0.696 0.750
22 Y 0.652 0.304 0.250

First-principles (PBE-GGA) data for a relaxed Y2ScSe crystal, as listed in the Alexandria database.

Values from the calculation:
The density of states at the Fermi level is 3.750 states/eV/cell. The space group is C2/m (12). As for the uncorrected formation energy: -542 meV/atom.

Cell: 6.336 6.336 5.529 Å, 64.27 64.27 32.98°
Last column: magnetic moment on the atom in μB.
Positions (direct):
1 Y 0.544 0.544 0.456  0.00
2 Y 0.956 0.956 0.044  0.00
3 Sc 0.750 0.750 0.750  0.19
4 Se 0.250 0.250 0.250  0.00

First-principles (PBE-GGA) data for a relaxed YSc2Se3 crystal, as listed in the Alexandria database.

Values from the calculation:
The density of states at the Fermi level is 3.327 states/eV/cell. The space group is Immm (71). As for the uncorrected formation energy: -1638 meV/atom.

Cell: 3.955 5.584 6.841 Å, 114.09 106.80 90.00°
Positions (direct):
1 Se 0.822 0.822 0.645
2 Se 0.500 0.500 0.000
3 Se 0.178 0.178 0.355
4 Sc 0.156 0.656 0.312
5 Sc 0.844 0.344 0.688
6 Y 0.500 0.000 0.000

First-principles (PBE-GGA) data for a relaxed Y2ScSe crystal, as listed in the Alexandria database.

Values from the calculation:
The density of states at the Fermi level is 10.172 states/eV/cell. The space group is I-42d (122). As for the uncorrected formation energy: -434 meV/atom.

Cell: 8.586 8.586 6.778 Å, 50.70 50.70 90.00°
Positions (direct):
1 Sc 0.250 0.750 0.500
2 Sc 0.500 0.500 0.000
3 Y 0.375 0.315 0.750
4 Y 0.685 0.125 0.250
5 Y 0.875 0.935 0.750
6 Y 0.065 0.625 0.250
7 Se 0.750 0.250 0.500
8 Se 0.000 0.000 0.000

First-principles (PBE-GGA) data for a relaxed YScSe2 crystal, as listed in the Alexandria database.

Values from the calculation:
The density of states at the Fermi level is 6.128 states/eV/cell. The space group is F-43m (216). As for the uncorrected formation energy: -447 meV/atom.

Cell: 5.026 5.026 5.026 Å, 60.00 60.00 60.00°
Last column: magnetic moment on the atom in μB.
Positions (direct):
1 Se 0.250 0.250 0.250  -0.07
2 Se 0.000 0.000 0.000  -0.07
3 Sc 0.500 0.500 0.500  0.85
4 Y 0.750 0.750 0.750  0.54

First-principles (PBE-GGA) data for a relaxed Y3ScSe crystal, as listed in the Alexandria database.

Values from the calculation:
The density of states at the Fermi level is 5.242 states/eV/cell. The space group is Pm-3m (221). As for the uncorrected formation energy: 541 meV/atom.

Cell: 5.468 5.468 5.468 Å, 90.00 90.00 90.00°
Positions (direct):
1 Se 0.500 0.500 0.500
2 Y 0.000 0.500 0.000
3 Y 0.000 0.000 0.500
4 Y 0.500 0.000 0.000
5 Sc 0.000 0.000 0.000

First-principles (PBE-GGA) data for a relaxed Y2ScSe crystal, as listed in the Alexandria database.

Values from the calculation:
The density of states at the Fermi level is 3.139 states/eV/cell. The space group is Imm2 (44). As for the uncorrected formation energy: -653 meV/atom.

Cell: 6.352 6.352 5.443 Å, 64.64 64.64 32.02°
Positions (direct):
1 Sc 0.547 0.547 0.453
2 Y 0.753 0.753 0.747
3 Y 0.959 0.959 0.041
4 Se 0.242 0.242 0.259

First-principles (PBE-GGA) data for a relaxed Y2ScSe crystal, as listed in the Alexandria database.

Values from the calculation:
The density of states at the Fermi level is 2.733 states/eV/cell. The space group is Amm2 (38). As for the uncorrected formation energy: -722 meV/atom.

Cell: 4.490 3.918 6.072 Å, 71.19 90.00 90.00°
Positions (direct):
1 Sc 0.000 0.696 0.484
2 Y 0.000 0.973 0.929
3 Y 0.500 0.278 0.318
4 Se 0.500 0.553 0.770